Material: BeIr2Cl
Method: DFT, PBE
State: optimized geometry

Cell lengths 4.3440, 4.3440, 4.3440 Å; angles 60.00, 60.00, 60.00 degrees
Last column: nearest neighbours and their distance in Å.
Fractional coordinates of all 4 atoms:
Ir 0.2500 0.2500 0.2500  4 Be 2.66, 4 Ir 2.66
Ir 0.0000 0.0000 0.0000  4 Cl 2.66, 4 Ir 2.66
Cl 0.7500 0.7500 0.7500  4 Ir 2.66, 4 Be 2.66
Be 0.5000 0.5000 0.5000  4 Ir 2.66, 4 Cl 2.66

Values from the calculation:
- Total magnetic moment: 0.00 Bohr magnetons per cell
- Electronic total energy: -4.899 eV per atom
- Formation energy from raw total energies: 925.0 meV per atom
- Symmetry: F-43m (216)
- E above lowest polymorph: 0.770 eV per atom